# GGA+U NaPrEuWO6, relaxed
# Energy above the lowest structure with this stoichiometry, eV per atom: 0.000
data_NaPrEuWO6
_chemical_formula_sum 'Na2 Pr2 Eu2 W2 O12'
_cell_length_a 5.675
_cell_length_b 6.011
_cell_length_c 9.846
_cell_angle_alpha 90.00
_cell_angle_beta 124.07
_cell_angle_gamma 90.00
_symmetry_space_group_name_H-M 'P 1 c 1'
_symmetry_Int_Tables_number 7
loop_
_symmetry_equiv_pos_as_xyz
'x,y,z'
'x,-y,z+1/2'
loop_
_atom_site_label
_atom_site_fract_x
_atom_site_fract_y
_atom_site_fract_z
Na1 0.000 0.245 0.000
Pr1 0.776 0.318 0.256
Eu1 0.227 0.189 0.747
W1 0.498 0.245 0.499
O1 0.159 0.078 0.446
O2 0.254 0.486 0.928
O3 0.398 0.200 0.274
O4 0.614 0.302 0.725
O5 0.724 0.031 0.069
O6 0.824 0.426 0.546